Entry 1:
9
Lattice="6.351 -2.316 0.000 6.351 2.316 0.000 -2.835 0.000 9.197" Properties=species:S:1:pos:R:3 comment="Sr3Ga2Sn4 (GGA-PBE, optimized geometry)" space_group="C2/m (12)" rho_kg_m3=5383 magmom_total_mub_per_fu=0.00 formation_enthalpy_0k_mev_per_atom=-508 pbc="T T T"
Sr 0.000 0.000 0.000
Sr 3.949 0.000 2.869
Sr 5.919 0.000 6.328
Ga 1.885 0.000 5.903
Ga 7.983 0.000 3.294
Sn 0.109 0.000 3.562
Sn 1.084 0.000 8.644
Sn 8.784 0.000 0.553
Sn 9.758 0.000 5.635

---

Entry 2:
18
Lattice="6.933 0.000 0.000 -3.466 6.004 0.000 0.000 0.000 12.688" Properties=species:S:1:pos:R:3 comment="SrCaCdCl6 (GGA-PBE, optimized geometry)" formation_energy_uncorrected_ev_per_atom=-1.9743 space_group="P-31c (163)" rho_kg_m3=2848 magmom_total_mub_per_fu=0.00 pbc="T T T"
Sr 0.000 0.000 0.000
Sr 0.000 0.000 6.344
Ca 0.000 4.003 3.172
Ca 3.466 2.001 9.516
Cd 0.000 4.003 9.516
Cd 3.466 2.001 3.172
Cl -1.169 2.131 8.007
Cl -2.205 3.926 11.025
Cl 1.169 2.131 11.025
Cl -1.036 5.950 8.007
Cl 2.430 0.053 1.663
Cl 1.261 2.078 4.681
Cl 2.205 3.926 8.007
Cl 1.036 5.950 11.025
Cl 4.503 0.053 4.681
Cl 2.298 3.873 1.663
Cl 5.671 2.078 1.663
Cl 4.635 3.873 4.681

---

Entry 3:
5
Lattice="3.941 0.000 0.000 0.000 3.941 0.000 0.000 0.000 4.524" Properties=species:S:1:pos:R:3 comment="TiSeO2F (GGA-PBE, optimized geometry)" formation_energy_uncorrected_ev_per_atom=-0.3351 space_group="P4/mmm (123)" rho_kg_m3=4202 magmom_total_mub_per_fu=0.42 pbc="T T T"
Ti 0.000 0.000 0.000
Se 1.971 1.971 2.262
O 0.000 1.971 2.262
O 1.971 0.000 2.262
F 1.971 1.971 0.000

---

Entry 4:
4
Lattice="5.252 0.000 0.000 0.000 5.252 0.000 0.000 0.000 4.023" Properties=species:S:1:pos:R:3 comment="Eu2CuSb (GGA-PBE, optimized geometry)" e_above_lowest_polymorph_mev_per_atom=50 formation_energy_uncorrected_ev_per_atom=-0.5414 space_group="P4/mmm (123)" rho_kg_m3=7321 magmom_total_mub_per_fu=13.96 pbc="T T T"
Eu 0.000 2.626 0.000
Eu 2.626 0.000 0.000
Cu 0.000 0.000 2.012
Sb 2.626 2.626 2.012

---

Entry 5:
4
Lattice="4.999 -1.422 0.000 4.999 1.422 0.000 -1.160 0.000 7.074" Properties=species:S:1:pos:R:3 comment="KTa2Cu (GGA-PBE, optimized geometry)" e_above_lowest_polymorph_mev_per_atom=247 space_group="Cm (8)" rho_kg_m3=7671 magmom_total_mub_per_fu=0.00 formation_enthalpy_0k_mev_per_atom=827 pbc="T T T"
K 0.000 0.000 0.000
Ta 4.770 0.000 3.484
Ta 7.490 0.000 3.051
Cu 1.462 0.000 5.045

---

Entry 6:
11
Lattice="8.519 -2.405 0.000 8.519 2.405 0.000 -2.054 0.000 6.453" Properties=species:S:1:pos:R:3 comment="Tm8Ir2Ru (GGA-PBE, optimized geometry)" e_above_lowest_polymorph_mev_per_atom=0 space_group="C2/m (12)" rho_kg_m3=11536 magmom_total_mub_per_fu=0.00 formation_enthalpy_0k_mev_per_atom=-524 pbc="T T T"
Tm -0.076 0.000 1.896
Tm 1.796 0.000 5.221
Tm 4.568 0.000 3.470
Tm 6.787 0.000 0.305
Tm 8.196 0.000 6.148
Tm 10.416 0.000 2.983
Tm 13.188 0.000 1.232
Tm 15.059 0.000 4.557
Ir 2.753 0.000 1.289
Ir 12.231 0.000 5.163
Ru 7.492 0.000 3.226

---

Entry 7:
5
Lattice="5.516 0.000 0.000 0.000 5.516 0.000 0.000 0.000 5.512" Properties=species:S:1:pos:R:3 comment="CsHg2AuSe (GGA-PBE, optimized geometry)" formation_energy_uncorrected_ev_per_atom=-0.3092 space_group="P4/mmm (123)" rho_kg_m3=8020 magmom_total_mub_per_fu=0.00 pbc="T T T"
Cs 0.000 0.000 0.000
Hg 0.000 2.758 2.756
Hg 2.758 0.000 2.756
Au 2.758 2.758 2.756
Se 2.758 2.758 0.000

---

Entry 8:
4
Lattice="-1.449 2.016 4.067 1.449 -2.016 4.067 1.449 2.016 -4.067" Properties=species:S:1:pos:R:3 comment="MnCo2Cu (GGA-PBE, optimized geometry)" space_group="Immm (71)" rho_kg_m3=8255 magmom_total_mub_per_fu=6.62 formation_enthalpy_0k_mev_per_atom=165 pbc="T T T"
Mn 0.000 0.000 0.000
Co 1.449 0.000 2.008
Co 0.000 2.016 2.060
Cu 0.000 0.000 4.067

---

Entry 9:
28
Lattice="0.000 5.930 5.930 5.930 0.000 5.930 5.930 5.930 0.000" Properties=species:S:1:pos:R:3 comment="Nb3Al3C (GGA-PBE, optimized geometry)" space_group="Fd-3m (227)" rho_kg_m3=5918 magmom_total_mub_per_fu=0.00 formation_enthalpy_0k_mev_per_atom=-435 pbc="T T T"
Nb 4.448 4.448 0.776
Nb 4.448 0.776 4.448
Nb 8.120 4.448 4.448
Nb 7.413 7.413 3.741
Nb 7.413 3.741 7.413
Nb 11.085 7.413 7.413
Nb 0.776 4.448 4.448
Nb 4.448 8.120 4.448
Nb 4.448 4.448 8.120
Nb 3.741 7.413 7.413
Nb 7.413 11.085 7.413
Nb 7.413 7.413 11.085
Al 5.930 2.965 2.965
Al 3.405 3.405 3.405
Al 5.490 5.490 3.405
Al 5.490 3.405 5.490
Al 8.456 6.370 6.370
Al 2.965 5.930 2.965
Al 2.965 2.965 5.930
Al 5.930 5.930 5.930
Al 3.405 5.490 5.490
Al 6.370 8.456 6.370
Al 6.370 6.370 8.456
Al 8.456 8.456 8.456
C 0.000 0.000 0.000
C 2.965 2.965 0.000
C 2.965 0.000 2.965
C 0.000 2.965 2.965

---

Entry 10:
14
Lattice="1.779 -6.046 0.000 1.779 6.046 0.000 0.000 0.000 15.916" Properties=species:S:1:pos:R:3 comment="NaPu2Cl4 (GGA-PBE, optimized geometry)" formation_energy_uncorrected_ev_per_atom=-1.0957 space_group="Cmcm (63)" rho_kg_m3=6333 magmom_total_mub_per_fu=3.65 pbc="T T T"
Na 1.779 5.109 11.937
Na 1.779 -5.109 3.979
Pu 1.779 2.340 8.333
Pu 1.779 2.340 15.541
Pu 1.779 -2.340 0.375
Pu 1.779 -2.340 7.583
Cl 0.000 0.000 0.000
Cl 0.000 0.000 7.958
Cl 1.779 2.492 2.302
Cl 1.779 2.492 5.656
Cl 1.779 0.935 11.937
Cl 1.779 -0.935 3.979
Cl 1.779 -2.492 10.260
Cl 1.779 -2.492 13.614

---

Entry 11:
11
Lattice="7.028 -4.133 0.000 7.028 4.133 0.000 -4.677 0.000 7.820" Properties=species:S:1:pos:R:3 comment="Cs2NpAg2Br6 (GGA-PBE, optimized geometry)" formation_energy_uncorrected_ev_per_atom=-1.0725 space_group="C2/m (12)" rho_kg_m3=4379 magmom_total_mub_per_fu=4.62 pbc="T T T"
Cs 2.153 0.000 1.424
Cs 7.225 0.000 6.396
Np -2.338 0.000 3.910
Ag 2.508 0.000 6.466
Ag 6.871 0.000 1.355
Br 5.161 2.190 1.798
Br 0.454 0.000 4.638
Br 4.217 2.190 6.022
Br 5.161 -2.190 1.798
Br 8.924 0.000 3.182
Br 4.217 -2.190 6.022

---

Entry 12:
4
Lattice="3.818 0.000 0.000 0.000 3.818 0.000 0.000 0.000 4.192" Properties=species:S:1:pos:R:3 comment="VOsW2 (GGA-PBE, optimized geometry)" e_above_lowest_polymorph_mev_per_atom=161 space_group="P4/mmm (123)" rho_kg_m3=16550 magmom_total_mub_per_fu=0.00 formation_enthalpy_0k_mev_per_atom=165 pbc="T T T"
V 0.000 0.000 0.000
Os 1.909 1.909 0.000
W 0.000 1.909 2.096
W 1.909 0.000 2.096